No. 1
A plane-wave DFT calculation with GGA-PBE was carried out for a geometry-optimized Er3Sn3Ru structure.

It has space group C2/m (No. 12), with a = 11.050 Å, b = 4.406 Å, c = 14.991 Å, α = 90.00°, β = 108.69° and γ = 90.00°. The distinct sites, in fractional coordinates, are Er at (0.017, 0.000, 0.380), Er at (0.101, 0.000, 0.924), Er at (0.233, 0.000, 0.243), Sn at (0.015, 0.500, 0.232), Sn at (0.126, 0.500, 0.077), Sn at (0.148, 0.500, 0.534) and Ru at (0.239, 0.500, 0.380).

The calculation puts the calculated total energy at -157.31 eV per cell. Its size of the total moment is 0.0000 μB/atom. As for the formation energy: -420 kJ/mol of formula units.

=====

No. 2
A plane-wave DFT calculation with GGA-PBE was carried out for a geometry-optimized Er5SnRu2 structure.

It has space group I4/mcm (No. 140), with a = 7.653 Å, b = 7.653 Å, c = 13.479 Å, α = 90.00°, β = 90.00° and γ = 90.00°. The distinct sites, in fractional coordinates, are Er at (0.000, 0.000, 0.000), Er at (0.158, 0.342, 0.133), Sn at (0.000, 0.000, 0.250) and Ru at (0.141, 0.359, 0.500).

The calculation puts the calculated total energy at -197.53 eV per cell. Its size of the total moment is 0.0000 μB/atom. As for the formation energy: -387 kJ/mol of formula units.

=====

No. 3
A plane-wave DFT calculation with GGA-PBE was carried out for a geometry-optimized ErSnRu structure.

It has space group F-43m (No. 216), with a = 6.525 Å, b = 6.525 Å, c = 6.525 Å, α = 90.00°, β = 90.00° and γ = 90.00°. The distinct sites, in fractional coordinates, are Er at (0.000, 0.000, 0.000), Sn at (0.000, 0.000, 0.500) and Ru at (0.250, 0.250, 0.750).

The calculation puts the calculated total energy at -76.00 eV per cell. Its size of the total moment is 0.0000 μB/atom. As for the formation energy: -112 kJ/mol of formula units.

=====

No. 4
A plane-wave DFT calculation with GGA-PBE was carried out for a geometry-optimized ErSnRu structure.

It has space group P6_3mc (No. 186), with a = 3.4035 Å, b = 3.4035 Å, c = 13.1486 Å, α = 90.00°, β = 90.00° and γ = 120.00°. The distinct sites, in fractional coordinates, are Er at (0.3333, 0.6667, 0.0000), Sn at (0.0000, 0.0000, 0.2011) and Ru at (0.3333, 0.6667, 0.3462).

The calculation puts the calculated total energy at -36.62 eV per cell. Its size of the total moment is 0.0001 μB/atom. As for the formation energy: -45 kJ/mol of formula units.

=====

No. 5
A plane-wave DFT calculation with GGA-PBE was carried out for a geometry-optimized Er6SnRu structure.

It has space group R-3 (No. 148, hexagonal axes), with a = 6.7398 Å, b = 6.7398 Å, c = 19.4253 Å, α = 90.00°, β = 90.00° and γ = 120.00°. The distinct sites, in fractional coordinates, are Er at (0.0036, 0.3733, 0.4137), Sn at (0.0000, 0.0000, 0.5000) and Ru at (0.0000, 0.0000, 0.0000).

The calculation puts the calculated total energy at -124.56 eV per cell. Its size of the total moment is 0.0000 μB/atom. As for the formation energy: -83 kJ/mol of formula units.

=====

No. 6
A plane-wave DFT calculation with GGA-PBE was carried out for a geometry-optimized Er8Sn2Ru structure.

It has space group C2/m (No. 12), with a = 19.063 Å, b = 4.970 Å, c = 6.583 Å, α = 90.00°, β = 105.74° and γ = 90.00°. The distinct sites, in fractional coordinates, are Er at (0.020, 0.000, 0.287), Er at (0.089, 0.500, 0.957), Er at (0.144, 0.500, 0.498), Er at (0.218, 0.000, 0.819), Sn at (0.182, 0.000, 0.255) and Ru at (0.000, 0.500, 0.500).

The calculation puts the calculated total energy at -115.87 eV per cell. Its size of the total moment is 0.0000 μB/atom. As for the formation energy: -401 kJ/mol of formula units.

=====

No. 7
A plane-wave DFT calculation with GGA-PBE was carried out for a geometry-optimized Er4SnRu3 structure.

It has space group P4/mmm (No. 123), with a = 4.817 Å, b = 4.817 Å, c = 7.171 Å, α = 90.00°, β = 90.00° and γ = 90.00°. The distinct sites, in fractional coordinates, are Er at (0.000, 0.500, 0.230), Sn at (0.000, 0.000, 0.500), Ru at (0.000, 0.000, 0.000), Ru at (0.500, 0.500, 0.000) and Ru at (0.500, 0.500, 0.500).

The calculation puts the calculated total energy at -53.65 eV per cell. Its size of the total moment is 0.0000 μB/atom. As for the formation energy: -344 kJ/mol of formula units.

=====

No. 8
A plane-wave DFT calculation with GGA-PBE was carried out for a geometry-optimized Er3SnRu structure.

It has space group Pmma (No. 51), with a = 9.196 Å, b = 3.311 Å, c = 8.073 Å, α = 90.00°, β = 90.00° and γ = 90.00°. The distinct sites, in fractional coordinates, are Er at (0.049, 0.000, 0.211), Er at (0.250, 0.000, 0.567), Sn at (0.250, 0.500, 0.934) and Ru at (0.000, 0.500, 0.500).

The calculation puts the calculated total energy at -58.53 eV per cell. For the energy above the most stable polymorph in this dataset, the calculation gives 0 meV per atom. Its size of the total moment is 0.0000 μB/atom. As for the formation energy: -222 kJ/mol of formula units.

=====

No. 9
A plane-wave DFT calculation with GGA-PBE was carried out for a geometry-optimized Er4Sn5Ru3 structure.

It has space group C2/m (No. 12), with a = 16.279 Å, b = 4.843 Å, c = 7.227 Å, α = 90.00°, β = 108.15° and γ = 90.00°. The distinct sites, in fractional coordinates, are Er at (0.107, 0.000, 0.437), Er at (0.172, 0.000, 0.948), Sn at (0.000, 0.000, 0.000), Sn at (0.067, 0.500, 0.693), Sn at (0.181, 0.500, 0.252), Ru at (0.000, 0.500, 0.000) and Ru at (0.227, 0.500, 0.649).

The calculation puts the calculated total energy at -142.96 eV per cell. Its size of the total moment is 0.0000 μB/atom. As for the formation energy: -520 kJ/mol of formula units.

=====

No. 10
A plane-wave DFT calculation with GGA-PBE was carried out for a geometry-optimized Er3SnRu structure.

It has space group Pnma (No. 62), with a = 5.852 Å, b = 10.655 Å, c = 8.031 Å, α = 90.00°, β = 90.00° and γ = 90.00°. The distinct sites, in fractional coordinates, are Er at (0.003, 0.104, 0.136), Er at (0.240, 0.750, 0.274), Sn at (0.000, 0.000, 0.500) and Ru at (0.058, 0.750, 0.591).

The calculation puts the calculated total energy at -113.81 eV per cell. For the energy above the most stable polymorph in this dataset, the calculation gives 163 meV per atom. Its size of the total moment is 0.0000 μB/atom. As for the formation energy: -143 kJ/mol of formula units.

=====

No. 11
A plane-wave DFT calculation with GGA-PBE was carried out for a geometry-optimized Er5SnRu4 structure.

It has space group P4/mmm (No. 123), with a = 3.397 Å, b = 3.397 Å, c = 17.825 Å, α = 90.00°, β = 90.00° and γ = 90.00°. The distinct sites, in fractional coordinates, are Er at (0.000, 0.000, 0.000), Er at (0.000, 0.000, 0.187), Er at (0.000, 0.000, 0.373), Sn at (0.500, 0.500, 0.500), Ru at (0.500, 0.500, 0.094) and Ru at (0.500, 0.500, 0.285).

The calculation puts the calculated total energy at -68.64 eV per cell. Its size of the total moment is 0.0000 μB/atom. As for the formation energy: -456 kJ/mol of formula units.

=====

No. 12
A plane-wave DFT calculation with GGA-PBE was carried out for a geometry-optimized Er2Sn3Ru structure.

It has space group Cmcm (No. 63), with a = 9.207 Å, b = 10.242 Å, c = 6.028 Å, α = 90.00°, β = 90.00° and γ = 90.00°. The distinct sites, in fractional coordinates, are Er at (0.176, 0.223, 0.250), Sn at (0.000, 0.066, 0.750), Sn at (0.162, 0.500, 0.000) and Ru at (0.000, 0.318, 0.750).

The calculation puts the calculated total energy at -130.89 eV per cell. Its size of the total moment is 0.0000 μB/atom. As for the formation energy: -223 kJ/mol of formula units.